Na2CuGe3Au4 | PBE-GGA | relaxed

```
Na2CuGe3Au4
1.0
4.443 0.000 0.000
0.000 4.443 0.000
0.000 0.000 10.603
Na Cu Ge Au
2 1 3 4
Direct
0.000 0.500 0.245
0.500 0.000 0.755
0.500 0.500 0.000
0.000 0.000 0.000
0.000 0.500 0.633
0.500 0.000 0.367
0.000 0.000 0.500
0.000 0.500 0.871
0.500 0.000 0.129
0.500 0.500 0.500
```

Its space group is No. 115. As for the total energy: -3.5054 eV/atom.

=====

CeSmNCl | PBE-GGA | relaxed

```
CeSmNCl
1.0
1.794 1.036 7.189
-1.794 1.036 7.189
0.000 -2.072 7.189
Ce Sm N Cl
1 1 1 1
Direct
0.000 0.000 0.000
0.793 0.793 0.793
0.396 0.396 0.396
0.559 0.559 0.559
```

As for the formation energy without anion corrections: -1536 meV/atom. Its space group is No. 160. As for the total energy: -6.7418 eV/atom.

=====

PaAl2Re | PBE-GGA | relaxed

```
PaAl2Re
1.0
0.000 3.293 3.293
3.293 0.000 3.293
3.293 3.293 0.000
Pa Al Re
1 2 1
Direct
0.000 0.000 0.000
0.250 0.250 0.250
0.750 0.750 0.750
0.500 0.500 0.500
```

The value obtained for the offset from the most stable computed form is 275 meV per atom. Its space group is No. 225. As for the total energy: -7.4105 eV/atom.

=====

Li2SnBiH | PBE-GGA | relaxed

```
Li2SnBiH
1.0
4.567 0.000 0.000
0.000 4.567 0.000
0.000 0.000 4.585
Li Sn Bi H
2 1 1 1
Direct
0.000 0.500 0.000
0.500 0.000 0.000
0.000 0.000 0.500
0.500 0.500 0.500
0.000 0.000 0.000
```

The value obtained for the offset from the most stable computed form is 0 meV per atom. Its space group is No. 123. As for the total energy: -3.2284 eV/atom.

=====

NaPuTl2Cl6 | PBE-GGA | relaxed

```
NaPuTl2Cl6
1.0
7.393 0.000 0.000
0.000 7.822 0.000
-7.288 0.000 10.664
Na Pu Tl Cl
2 2 4 12
Direct
0.000 0.000 0.000
0.000 0.500 0.500
0.500 0.000 0.500
0.500 0.500 0.000
0.229 0.068 0.750
0.229 0.432 0.250
0.771 0.568 0.750
0.771 0.932 0.250
0.154 0.195 0.450
0.154 0.305 0.950
0.264 0.707 0.452
0.264 0.793 0.952
0.353 0.031 0.254
0.353 0.469 0.754
0.647 0.531 0.246
0.647 0.969 0.746
0.736 0.207 0.048
0.736 0.293 0.548
0.846 0.695 0.050
0.846 0.805 0.550
```

As for the formation energy without anion corrections: -1551 meV/atom. Its space group is No. 14. As for the total energy: -4.6974 eV/atom.

=====

Ho2ErTmBi4 | PBE-GGA | relaxed

```
Ho2ErTmBi4
1.0
7.701 0.000 0.000
0.000 4.450 0.000
-2.567 0.000 7.261
Ho Er Tm Bi
2 1 1 4
Direct
0.000 0.000 0.000
0.000 0.500 0.500
0.500 0.000 0.500
0.500 0.500 0.000
0.251 0.500 0.250
0.252 0.000 0.751
0.748 0.000 0.249
0.749 0.500 0.750
```

Its space group is No. 10. As for the total energy: -5.0306 eV/atom.

=====

LaGa2Tc2B | PBE-GGA | relaxed

```
LaGa2Tc2B
1.0
4.264 0.000 0.000
0.000 4.264 0.000
0.000 0.000 5.675
La Ga Tc B
1 2 2 1
Direct
0.000 0.000 0.000
0.500 0.500 0.232
0.500 0.500 0.768
0.000 0.500 0.500
0.500 0.000 0.500
0.000 0.000 0.500
```

Its space group is No. 123. As for the total energy: -6.8857 eV/atom.

=====

V3SiMo | PBE-GGA | relaxed

```
V3SiMo
1.0
4.262 -2.555 0.000
4.262 2.555 0.000
-2.654 0.000 12.961
V Si Mo
12 4 4
Direct
0.000 0.359 0.788
0.000 0.641 0.212
0.040 0.908 0.909
0.092 0.960 0.591
0.104 0.459 0.595
0.359 0.000 0.288
0.459 0.104 0.095
0.541 0.896 0.905
0.641 0.000 0.712
0.896 0.541 0.405
0.908 0.040 0.409
0.960 0.092 0.091
0.000 0.500 0.000
0.294 0.706 0.750
0.500 0.000 0.500
0.706 0.294 0.250
0.381 0.536 0.405
0.464 0.619 0.095
0.536 0.381 0.905
0.619 0.464 0.595
```

The value obtained for the offset from the most stable computed form is 0 meV per atom. As for the formation energy without anion corrections: -113 meV/atom. Its space group is No. 15. As for the total energy: -8.8350 eV/atom.

=====

CsNiGe2S | PBE-GGA | relaxed

```
CsNiGe2S
1.0
4.667 0.000 0.000
0.000 4.667 0.000
0.000 0.000 5.514
Cs Ni Ge S
1 1 2 1
Direct
0.000 0.000 0.000
0.500 0.500 0.500
0.000 0.500 0.500
0.500 0.000 0.500
0.500 0.500 0.000
```

As for the formation energy without anion corrections: 91 meV/atom. Its space group is No. 123. As for the total energy: -3.9081 eV/atom.

=====

Cs3NpTl2S6 | PBE-GGA | relaxed

```
Cs3NpTl2S6
1.0
3.906 -6.668 0.000
3.906 6.668 0.000
-2.512 0.000 7.627
Cs Np Tl S
3 1 2 6
Direct
0.000 0.000 0.000
0.318 0.682 0.000
0.682 0.318 0.000
0.500 0.500 0.500
0.165 0.835 0.500
0.835 0.165 0.500
0.168 0.439 0.316
0.300 0.300 0.693
0.439 0.168 0.316
0.561 0.832 0.684
0.700 0.700 0.307
0.832 0.561 0.684
```

As for the formation energy without anion corrections: -910 meV/atom. Its space group is No. 12. As for the total energy: -4.6599 eV/atom.

=====

Zn2Te2Pb | PBE-GGA | relaxed

```
Zn2Te2Pb
1.0
-2.731 2.731 4.479
2.731 -2.731 4.479
2.731 2.731 -4.479
Zn Te Pb
2 2 1
Direct
0.136 0.136 0.000
0.864 0.864 0.000
0.250 0.750 0.500
0.750 0.250 0.500
0.500 0.500 0.000
```

The value obtained for the offset from the most stable computed form is 0 meV per atom. As for the formation energy without anion corrections: -52 meV/atom. Its space group is No. 139. As for the total energy: -2.5600 eV/atom.

=====

Hf2IrPd2 | PBE-GGA | relaxed

```
Hf2IrPd2
1.0
7.344 0.000 0.000
0.000 7.344 0.000
0.000 0.000 3.268
Hf Ir Pd
4 2 4
Direct
0.179 0.321 0.000
0.321 0.821 0.000
0.679 0.179 0.000
0.821 0.679 0.000
0.000 0.000 0.500
0.500 0.500 0.500
0.127 0.627 0.500
0.373 0.127 0.500
0.627 0.873 0.500
0.873 0.373 0.500
```

The value obtained for the offset from the most stable computed form is 0 meV per atom. Its space group is No. 127. As for the total energy: -8.4205 eV/atom.

=====

UMn5As3 | PBE-GGA | relaxed

```
UMn5As3
1.0
1.829 -6.227 0.000
1.829 6.227 0.000
0.000 0.000 12.084
U Mn As
2 10 6
Direct
0.149 0.851 0.750
0.851 0.149 0.250
0.000 0.000 0.000
0.000 0.000 0.500
0.193 0.807 0.059
0.193 0.807 0.441
0.443 0.557 0.641
0.443 0.557 0.859
0.557 0.443 0.141
0.557 0.443 0.359
0.807 0.193 0.559
0.807 0.193 0.941
0.132 0.868 0.250
0.380 0.620 0.056
0.380 0.620 0.444
0.620 0.380 0.556
0.620 0.380 0.944
0.868 0.132 0.750
```

Its space group is No. 63. As for the total energy: -8.1191 eV/atom.

=====

Cs2Ce2Br7 | PBE-GGA | relaxed

```
Cs2Ce2Br7
1.0
4.859 -5.665 0.000
4.859 5.665 0.000
0.000 0.000 8.339
Cs Ce Br
2 2 7
Direct
0.228 0.228 0.000
0.772 0.772 0.000
0.280 0.720 0.500
0.720 0.280 0.500
0.000 0.000 0.500
0.000 0.500 0.272
0.000 0.500 0.728
0.500 0.000 0.272
0.500 0.000 0.728
0.500 0.500 0.284
0.500 0.500 0.716
```

As for the formation energy without anion corrections: -1744 meV/atom. Its space group is No. 65. As for the total energy: -4.0422 eV/atom.

=====

Be3TlB | PBE-GGA | relaxed

```
Be3TlB
1.0
3.933 0.000 0.000
0.000 3.933 0.000
0.000 0.000 3.933
Be Tl B
3 1 1
Direct
0.000 0.000 0.500
0.000 0.500 0.000
0.500 0.000 0.000
0.500 0.500 0.500
0.000 0.000 0.000
```

The value obtained for the offset from the most stable computed form is 0 meV per atom. Its space group is No. 221. As for the total energy: -3.4881 eV/atom.

=====

CeAg3Cl9 | PBE-GGA | relaxed

```
CeAg3Cl9
1.0
9.079 -3.689 0.000
9.079 3.689 0.000
-6.456 0.000 12.693
Ce Ag Cl
2 6 18
Direct
0.112 0.888 0.500
0.888 0.112 0.000
0.088 0.340 0.996
0.340 0.088 0.496
0.343 0.653 0.232
0.540 0.909 0.830
0.653 0.343 0.732
0.909 0.540 0.330
0.048 0.103 0.390
0.103 0.048 0.890
0.129 0.575 0.118
0.235 0.695 0.633
0.240 0.844 0.106
0.264 0.280 0.389
0.280 0.264 0.889
0.375 0.553 0.382
0.405 0.915 0.617
0.553 0.375 0.882
0.575 0.129 0.618
0.576 0.714 0.349
0.695 0.235 0.133
0.714 0.576 0.849
0.842 0.874 0.369
0.844 0.240 0.606
0.874 0.842 0.869
0.915 0.405 0.117
```

As for the formation energy without anion corrections: -948 meV/atom. Its space group is No. 9. As for the total energy: -3.3411 eV/atom.

=====

Dy4GaSe2 | PBE-GGA | relaxed

```
Dy4GaSe2
1.0
7.524 -1.990 0.000
7.524 1.990 0.000
-3.158 0.000 6.174
Dy Ga Se
4 1 2
Direct
0.116 0.116 0.269
0.377 0.377 0.194
0.623 0.623 0.806
0.884 0.884 0.731
0.000 0.000 0.500
0.249 0.249 0.739
0.751 0.751 0.261
```

As for the formation energy without anion corrections: -1089 meV/atom. Its space group is No. 12. As for the total energy: -5.1471 eV/atom.

=====

Li2LaRhO | PBE-GGA | relaxed

```
Li2LaRhO
1.0
4.053 0.000 0.000
0.000 4.053 0.000
0.000 0.000 4.972
Li La Rh O
2 1 1 1
Direct
0.000 0.500 0.000
0.500 0.000 0.000
0.000 0.000 0.500
0.500 0.500 0.500
0.000 0.000 0.000
```

As for the formation energy without anion corrections: -1244 meV/atom. Its space group is No. 123. As for the total energy: -5.4567 eV/atom.

=====

Mg2HgS | PBE-GGA | relaxed

```
Mg2HgS
1.0
1.786 1.031 7.566
-1.786 1.031 7.566
0.000 -2.062 7.566
Mg Hg S
2 1 1
Direct
0.235 0.235 0.235
0.765 0.765 0.765
0.000 0.000 0.000
0.500 0.500 0.500
```

The value obtained for the offset from the most stable computed form is 0 meV per atom. As for the formation energy without anion corrections: -673 meV/atom. Its space group is No. 166. As for the total energy: -2.5781 eV/atom.

=====

TmCd7Hg12 | PBE-GGA | relaxed

```
TmCd7Hg12
1.0
6.841 3.950 3.104
-6.841 3.950 3.104
0.000 -7.900 3.104
Tm Cd Hg
1 7 12
Direct
0.000 0.000 0.000
0.040 0.136 0.685
0.136 0.685 0.040
0.315 0.960 0.864
0.500 0.500 0.500
0.685 0.040 0.136
0.864 0.315 0.960
0.960 0.864 0.315
0.087 0.283 0.385
0.198 0.683 0.432
0.283 0.385 0.087
0.317 0.568 0.802
0.385 0.087 0.283
0.432 0.198 0.683
0.568 0.802 0.317
0.615 0.913 0.717
0.683 0.432 0.198
0.717 0.615 0.913
0.802 0.317 0.568
0.913 0.717 0.615
```

The value obtained for the offset from the most stable computed form is 6 meV per atom. Its space group is No. 148. As for the total energy: -0.7466 eV/atom.